Entry 1:
# TaCdAs2Br | the Alexandria database | GGA-PBE | optimized geometry
# **Fermi-level density of states**: 1.53 states/eV per cell
# **Energy above the lowest structure with this stoichiometry**: 0 meV/atom
# **Mass density**: 6.530 Mg/m³
# **ΔE_f (raw)**: 0.140 eV per atom
# **Size of the total moment**: 0.0 Bohr magnetons per cell
data_TaCdAs2Br
_space_group_name_H-M_alt 'P 4/m m m'
_space_group_IT_number 123
_space_group_name_Hall '-P 4 2'
_cell_length_a 5.033
_cell_length_b 5.033
_cell_length_c 5.252
_cell_angle_alpha 90.00
_cell_angle_beta 90.00
_cell_angle_gamma 90.00
loop_
_atom_site_label
_atom_site_type_symbol
_atom_site_fract_x
_atom_site_fract_y
_atom_site_fract_z
Ta1 Ta 0.000 0.000 0.000
Cd1 Cd 0.500 0.500 0.500
As1 As 0.000 0.500 0.000
Br1 Br 0.000 0.000 0.500

=====

Entry 2:
# TaCdAs2Br | the Alexandria database | GGA-PBE | optimized geometry
# **Fermi-level density of states**: 5.28 states/eV per cell
# **Energy above the lowest structure with this stoichiometry**: 1416 meV/atom
# **Mass density**: 6.676 Mg/m³
# **ΔE_f (raw)**: 1.556 eV per atom
# **Size of the total moment**: 2.3 Bohr magnetons per cell
data_TaCdAs2Br
_space_group_name_H-M_alt 'P 4/m m m'
_space_group_IT_number 123
_space_group_name_Hall '-P 4 2'
_cell_length_a 5.056
_cell_length_b 5.056
_cell_length_c 5.089
_cell_angle_alpha 90.00
_cell_angle_beta 90.00
_cell_angle_gamma 90.00
loop_
_atom_site_label
_atom_site_type_symbol
_atom_site_fract_x
_atom_site_fract_y
_atom_site_fract_z
Ta1 Ta 0.000 0.000 0.000
Cd1 Cd 0.500 0.500 0.000
As1 As 0.000 0.500 0.500
Br1 Br 0.500 0.500 0.500

=====

Entry 3:
# TaCdAsBr2 | the Alexandria database | GGA-PBE | optimized geometry
# **Fermi-level density of states**: 5.45 states/eV per cell
# **Energy above the lowest structure with this stoichiometry**: 1094 meV/atom
# **Mass density**: 5.999 Mg/m³
# **ΔE_f (raw)**: 1.113 eV per atom
# **Size of the total moment**: 2.2 Bohr magnetons per cell
data_TaCdAsBr2
_space_group_name_H-M_alt 'P 4/m m m'
_space_group_IT_number 123
_space_group_name_Hall '-P 4 2'
_cell_length_a 5.208
_cell_length_b 5.208
_cell_length_c 5.389
_cell_angle_alpha 90.00
_cell_angle_beta 90.00
_cell_angle_gamma 90.00
loop_
_atom_site_label
_atom_site_type_symbol
_atom_site_fract_x
_atom_site_fract_y
_atom_site_fract_z
Ta1 Ta 0.000 0.000 0.000
Cd1 Cd 0.500 0.500 0.500
As1 As 0.500 0.500 0.000
Br1 Br 0.000 0.500 0.500

=====

Entry 4:
# TaCdAs2Br | the Alexandria database | GGA-PBE | optimized geometry
# **Fermi-level density of states**: 8.13 states/eV per cell
# **Energy above the lowest structure with this stoichiometry**: 1293 meV/atom
# **Mass density**: 6.619 Mg/m³
# **ΔE_f (raw)**: 1.433 eV per atom
# **Size of the total moment**: 0.0 Bohr magnetons per cell
data_TaCdAs2Br
_space_group_name_H-M_alt 'P 4/m m m'
_space_group_IT_number 123
_space_group_name_Hall '-P 4 2'
_cell_length_a 5.044
_cell_length_b 5.044
_cell_length_c 5.157
_cell_angle_alpha 90.00
_cell_angle_beta 90.00
_cell_angle_gamma 90.00
loop_
_atom_site_label
_atom_site_type_symbol
_atom_site_fract_x
_atom_site_fract_y
_atom_site_fract_z
Ta1 Ta 0.000 0.000 0.000
Cd1 Cd 0.500 0.500 0.500
As1 As 0.000 0.500 0.500
Br1 Br 0.500 0.500 0.000

=====

Entry 5:
# TaCdAsBr2 | the Alexandria database | GGA-PBE | optimized geometry
# **Fermi-level density of states**: 3.27 states/eV per cell
# **Energy above the lowest structure with this stoichiometry**: 0 meV/atom
# **Mass density**: 6.399 Mg/m³
# **ΔE_f (raw)**: 0.019 eV per atom
# **Size of the total moment**: 0.0 Bohr magnetons per cell
data_TaCdAsBr2
_space_group_name_H-M_alt 'P 4/m m m'
_space_group_IT_number 123
_space_group_name_Hall '-P 4 2'
_cell_length_a 5.170
_cell_length_b 5.170
_cell_length_c 5.128
_cell_angle_alpha 90.00
_cell_angle_beta 90.00
_cell_angle_gamma 90.00
loop_
_atom_site_label
_atom_site_type_symbol
_atom_site_fract_x
_atom_site_fract_y
_atom_site_fract_z
Ta1 Ta 0.000 0.000 0.000
Cd1 Cd 0.500 0.500 0.500
As1 As 0.000 0.000 0.500
Br1 Br 0.000 0.500 0.000

=====

Entry 6:
# CdTcAs2Br | the Alexandria database | GGA-PBE | optimized geometry
# **Fermi-level density of states**: 1.71 states/eV per cell
# **Energy above the lowest structure with this stoichiometry**: 0 meV/atom
# **Mass density**: 5.836 Mg/m³
# **ΔE_f (raw)**: 0.266 eV per atom
# **Size of the total moment**: 0.0 Bohr magnetons per cell
data_CdTcAs2Br
_space_group_name_H-M_alt 'P 4/m m m'
_space_group_IT_number 123
_space_group_name_Hall '-P 4 2'
_cell_length_a 4.749
_cell_length_b 4.749
_cell_length_c 5.552
_cell_angle_alpha 90.00
_cell_angle_beta 90.00
_cell_angle_gamma 90.00
loop_
_atom_site_label
_atom_site_type_symbol
_atom_site_fract_x
_atom_site_fract_y
_atom_site_fract_z
Cd1 Cd 0.000 0.000 0.000
Tc1 Tc 0.500 0.500 0.500
As1 As 0.000 0.500 0.500
Br1 Br 0.500 0.500 0.000